Below is a geometry-optimized MnOF structure, with properties calculated at the GGA+U level. Values from VASP.

Cell and atoms, written as Quantum ESPRESSO input:
```
&SYSTEM
  ibrav = 0, nat = 24, ntyp = 3
/
ATOMIC_SPECIES
Mn 54.94 Mn.upf
O 16.00 O.upf
F 19.00 F.upf
ATOMIC_POSITIONS angstrom
Mn 0.000 0.000 0.000
Mn -0.301 3.268 3.640
Mn 0.974 -0.317 3.582
Mn 1.014 3.265 0.123
Mn 2.688 1.558 1.865
Mn 2.451 4.744 5.288
Mn 3.375 5.127 1.707
Mn 4.004 1.306 5.167
O 0.927 4.717 4.040
O 1.275 1.398 0.451
O 2.108 6.611 2.293
O 2.376 3.436 1.459
O 3.660 4.984 6.746
O 4.064 1.860 3.380
O 5.322 -0.059 5.042
O 5.256 2.646 5.497
F 1.086 1.650 3.337
F 0.914 4.608 6.758
F 2.604 -0.084 5.035
F 2.502 2.647 5.522
F 3.762 4.653 3.741
F 4.195 1.573 0.188
F 5.032 6.497 1.942
F 5.287 3.755 1.741
CELL_PARAMETERS angstrom
5.741 0.000 0.000
-0.343 6.923 0.000
-0.253 -0.682 6.915
```

For the total energy, the calculation gives -6.7198 eV per atom. Its crystal system is triclinic. The magnetic moment is 4.00 μB per formula unit. The calculation puts the density of states at the Fermi level at 0.25 states/eV/f.u. As for the volume: 11.5 A^3/atom.